A geometry-optimized La2TbSb structure. Source: Alexandria via LeMat-Bulk, functional GGA-PBE.

## Properties
Energy above the lowest structure with this stoichiometry = 44.8 meV per atom
Raw formation energy = -0.5295 eV per atom

abc: 4.2789 4.2789 7.0737
angles: 90.00 90.00 90.00
Positions (direct):
La (0.0000, 0.0000, 0.2226)
La (0.0000, 0.0000, 0.7774)
Tb (0.5000, 0.5000, 0.5000)
Sb (0.5000, 0.5000, 0.0000)